Entry 1:
# BeZnCr2

A relaxed BeZnCr2 crystal (PBE-GGA, Alexandria).

Geometry as POSCAR:
```
BeZnCr2
1.0
2.403 0.000 0.000
0.000 3.767 0.000
0.000 0.000 5.129
Cr Zn Be
2 1 1
Direct
0.000 0.000 0.006
0.500 0.500 0.226
0.000 0.000 0.516
0.500 0.500 0.751
```

Results
* energy of formation from the pure elements: 270 meV per atom
* energy relative to the lowest polymorph listed for this composition: 163.5 meV per atom
* size of the total moment: 0.0 μB/cell

Entry 2:
# Be3ZnCr

A relaxed Be3ZnCr crystal (PBE-GGA, Alexandria).

Geometry as POSCAR:
```
Be3ZnCr
1.0
3.946 0.000 0.000
0.000 3.946 0.000
0.000 0.000 3.946
Cr Zn Be
1 1 3
Direct
0.500 0.500 0.500
0.000 0.000 0.000
0.000 0.500 0.000
0.000 0.000 0.500
0.500 0.000 0.000
```

Results
* energy of formation from the pure elements: 1105 meV per atom
* energy relative to the lowest polymorph listed for this composition: 0.0 meV per atom
* size of the total moment: 0.1 μB/cell

Entry 3:
# Be2ZnCr

A relaxed Be2ZnCr crystal (PBE-GGA, Alexandria).

Geometry as POSCAR:
```
Be2ZnCr
1.0
3.994 0.000 0.000
1.997 3.459 0.000
1.997 1.153 3.261
Cr Zn Be
1 1 2
Direct
0.500 0.500 0.500
0.750 0.750 0.750
0.000 0.000 0.000
0.250 0.250 0.250
```

Results
* energy of formation from the pure elements: 227 meV per atom
* size of the total moment: 2.8 μB/cell

Entry 4:
# Be2ZnCr

A relaxed Be2ZnCr crystal (PBE-GGA, Alexandria).

Geometry as POSCAR:
```
Be2ZnCr
1.0
-1.090 -2.120 0.406
0.531 -0.247 -2.346
6.491 -2.997 1.786
Cr Zn Be
1 1 2
Direct
0.500 0.500 0.250
0.500 0.500 0.750
0.000 0.000 0.011
0.000 0.000 0.489
```

Results
* energy of formation from the pure elements: 107 meV per atom
* size of the total moment: 0.0 μB/cell